(1)
NbV2Cr after structural relaxation, computed with PBE.

POSCAR file:
```
NbV2Cr
1.0
3.005 0.000 0.000
0.000 3.005 0.000
0.000 0.000 6.280
Nb V Cr
1 2 1
direct
0.000 0.000 0.000
0.500 0.500 0.275
0.500 0.500 0.725
0.000 0.000 0.500
```

Computed properties:
**Energy**: -9.462 eV per atom
**Formation enthalpy at 0 K**: 0.0210 eV/atom
**Relative energy among the computed polymorphs**: 0 meV per atom

(2)
Ce2Al2Zn after structural relaxation, computed with PBE.

POSCAR file:
```
Ce2Al2Zn
1.0
4.587 0.000 0.000
0.000 13.550 0.000
0.000 0.000 3.499
Ce Al Zn
4 4 2
direct
0.000 0.105 0.000
0.000 0.895 0.000
0.500 0.395 0.000
0.500 0.605 0.000
0.000 0.301 0.500
0.000 0.699 0.500
0.500 0.199 0.500
0.500 0.801 0.500
0.000 0.500 0.500
0.500 0.000 0.500
```

Computed properties:
**Energy**: -4.438 eV per atom
**Formation enthalpy at 0 K**: -0.3131 eV/atom

(3)
Pm2PrPu after structural relaxation, computed with PBE.

POSCAR file:
```
Pm2PrPu
1.0
3.588 0.000 0.000
0.000 3.588 0.000
0.000 0.000 10.289
Pm Pr Pu
2 1 1
direct
0.000 0.000 0.238
0.000 0.000 0.762
0.500 0.500 0.500
0.500 0.500 0.000
```

Computed properties:
**Energy**: -7.037 eV per atom
**Formation enthalpy at 0 K**: 0.1160 eV/atom
**Relative energy among the computed polymorphs**: 0 meV per atom

(4)
Tl2TeAu2 after structural relaxation, computed with PBE.

POSCAR file:
```
Tl2TeAu2
1.0
4.543 0.000 0.000
0.000 4.543 0.000
0.000 0.000 12.982
Tl Te Au
4 2 4
direct
0.000 0.500 0.250
0.000 0.500 0.750
0.500 0.000 0.250
0.500 0.000 0.750
0.000 0.000 0.000
0.500 0.500 0.500
0.000 0.000 0.397
0.000 0.000 0.603
0.500 0.500 0.103
0.500 0.500 0.897
```

Computed properties:
**Energy**: -2.754 eV per atom
**Formation energy from raw total energies**: 0.13 eV/atom
**Relative energy among the computed polymorphs**: 207 meV per atom

(5)
K2Cu3S3O13 after structural relaxation, computed with PBE.

POSCAR file:
```
K2Cu3S3O13
1.0
9.595 -4.864 0.000
9.595 4.864 0.000
-5.131 0.000 13.569
K Cu S O
8 12 12 52
direct
0.050 0.560 0.375
0.069 0.584 0.942
0.416 0.931 0.558
0.440 0.950 0.125
0.560 0.050 0.875
0.584 0.069 0.442
0.931 0.416 0.058
0.950 0.440 0.625
0.002 0.037 0.659
0.037 0.002 0.159
0.176 0.666 0.705
0.334 0.824 0.795
0.461 0.512 0.143
0.488 0.539 0.357
0.512 0.461 0.643
0.539 0.488 0.857
0.666 0.176 0.205
0.824 0.334 0.295
0.963 0.998 0.841
0.998 0.963 0.341
0.126 0.169 0.863
0.169 0.126 0.363
0.240 0.743 0.506
0.257 0.760 0.994
0.319 0.383 0.215
0.383 0.319 0.715
0.617 0.681 0.285
0.681 0.617 0.785
0.743 0.240 0.006
0.760 0.257 0.494
0.831 0.874 0.637
0.874 0.831 0.137
0.028 0.293 0.368
0.035 0.144 0.907
0.056 0.188 0.758
0.101 0.798 0.425
0.116 0.884 0.750
0.126 0.780 0.911
0.129 0.305 0.921
0.144 0.035 0.407
0.181 0.380 0.202
0.188 0.056 0.258
0.202 0.899 0.075
0.216 0.458 0.699
0.220 0.874 0.589
0.258 0.614 0.537
0.293 0.028 0.868
0.300 0.469 0.143
0.305 0.129 0.421
0.314 0.614 0.029
0.349 0.459 0.319
0.380 0.181 0.702
0.386 0.686 0.471
0.386 0.742 0.963
0.392 0.608 0.750
0.458 0.216 0.199
0.459 0.349 0.819
0.469 0.300 0.643
0.531 0.700 0.357
0.541 0.651 0.181
0.542 0.784 0.801
0.608 0.392 0.250
0.614 0.258 0.037
0.614 0.314 0.529
0.620 0.819 0.298
0.651 0.541 0.681
0.686 0.386 0.971
0.695 0.871 0.579
0.700 0.531 0.857
0.707 0.972 0.132
0.742 0.386 0.463
0.780 0.126 0.411
0.784 0.542 0.301
0.798 0.101 0.925
0.812 0.944 0.742
0.819 0.620 0.798
0.856 0.965 0.593
0.871 0.695 0.079
0.874 0.220 0.089
0.884 0.116 0.250
0.899 0.202 0.575
0.944 0.812 0.242
0.965 0.856 0.093
0.972 0.707 0.632
```

Computed properties:
**Energy**: -5.664 eV per atom
**Formation energy from raw total energies**: -1.32 eV/atom

(6)
AgMoC2 after structural relaxation, computed with PBE.

POSCAR file:
```
AgMoC2
1.0
5.585 0.000 0.000
0.000 5.585 0.000
0.000 0.000 5.585
Ag Mo C
4 4 8
direct
0.000 0.000 0.000
0.000 0.500 0.500
0.500 0.000 0.500
0.500 0.500 0.000
0.000 0.000 0.500
0.000 0.500 0.000
0.500 0.000 0.000
0.500 0.500 0.500
0.250 0.250 0.250
0.250 0.250 0.750
0.250 0.750 0.250
0.250 0.750 0.750
0.750 0.250 0.250
0.750 0.250 0.750
0.750 0.750 0.250
0.750 0.750 0.750
```

Computed properties:
**Energy**: -6.244 eV per atom
**Formation enthalpy at 0 K**: 1.7888 eV/atom
**Relative energy among the computed polymorphs**: 763 meV per atom

(7)
SrRuBr6 after structural relaxation, computed with PBE.

POSCAR file:
```
SrRuBr6
1.0
3.428 1.979 6.261
-3.428 1.979 6.261
0.000 -3.959 6.261
Sr Ru Br
1 1 6
direct
0.000 0.000 0.000
0.500 0.500 0.500
0.105 0.465 0.702
0.298 0.895 0.535
0.465 0.702 0.105
0.535 0.298 0.895
0.702 0.105 0.465
0.895 0.535 0.298
```

Computed properties:
**Energy**: -3.481 eV per atom
**Formation energy from raw total energies**: -0.86 eV/atom

(8)
CaCrPt2 after structural relaxation, computed with PBE.

POSCAR file:
```
CaCrPt2
1.0
3.034 0.000 0.000
-1.517 2.627 0.000
0.000 0.000 26.760
Ca Cr Pt
3 3 6
direct
0.000 0.000 0.000
0.333 0.667 0.667
0.667 0.333 0.333
0.000 0.000 0.500
0.333 0.667 0.167
0.667 0.333 0.833
0.000 0.000 0.243
0.000 0.000 0.757
0.333 0.667 0.423
0.333 0.667 0.910
0.667 0.333 0.090
0.667 0.333 0.577
```

Computed properties:
**Energy**: -5.916 eV per atom
**Formation enthalpy at 0 K**: 0.0103 eV/atom
**Relative energy among the computed polymorphs**: 426 meV per atom

(9)
ZrTi2Nb2 after structural relaxation, computed with PBE.

POSCAR file:
```
ZrTi2Nb2
1.0
8.146 0.000 0.000
0.000 4.741 0.000
-2.805 0.000 4.813
Zr Ti Nb
2 4 4
direct
0.000 0.000 0.000
0.500 0.500 0.000
0.092 0.500 0.791
0.408 0.000 0.209
0.592 0.000 0.791
0.908 0.500 0.209
0.198 0.000 0.603
0.302 0.500 0.397
0.698 0.500 0.603
0.802 0.000 0.397
```

Computed properties:
**Energy**: -8.821 eV per atom
**Formation enthalpy at 0 K**: 0.0744 eV/atom
**Relative energy among the computed polymorphs**: 0 meV per atom

(10)
HfZrTe after structural relaxation, computed with PBE.

POSCAR file:
```
HfZrTe
1.0
10.338 0.000 0.000
0.000 3.731 0.000
-2.691 0.000 6.961
Hf Zr Te
4 4 4
direct
0.163 0.000 0.078
0.337 0.500 0.922
0.663 0.500 0.078
0.837 0.000 0.922
0.167 0.000 0.588
0.333 0.500 0.412
0.667 0.500 0.588
0.833 0.000 0.412
0.004 0.500 0.252
0.496 0.000 0.748
0.504 0.000 0.252
0.996 0.500 0.748
```

Computed properties:
**Energy**: -7.602 eV per atom
**Formation energy from raw total energies**: -0.39 eV/atom
**Relative energy among the computed polymorphs**: 89 meV per atom

(11)
Ac2NbCrN5 after structural relaxation, computed with PBE.

POSCAR file:
```
Ac2NbCrN5
1.0
1.700 -7.400 0.000
1.700 7.400 0.000
0.000 0.000 10.664
Ac Nb Cr N
4 2 2 10
direct
0.120 0.880 0.500
0.132 0.868 0.129
0.868 0.132 0.629
0.880 0.120 0.000
0.206 0.794 0.833
0.794 0.206 0.333
0.446 0.554 0.255
0.554 0.446 0.755
0.041 0.959 0.825
0.298 0.702 0.461
0.324 0.676 0.196
0.335 0.665 0.816
0.498 0.502 0.107
0.502 0.498 0.607
0.665 0.335 0.316
0.676 0.324 0.696
0.702 0.298 0.961
0.959 0.041 0.325
```

Computed properties:
**Energy**: -8.691 eV per atom
**Formation energy from raw total energies**: -0.96 eV/atom

(12)
TiNb2Ir after structural relaxation, computed with PBE.

POSCAR file:
```
TiNb2Ir
1.0
6.414 0.000 0.000
0.000 6.414 0.000
0.000 0.000 6.414
Ti Nb Ir
4 8 4
direct
0.000 0.000 0.000
0.000 0.500 0.500
0.500 0.000 0.500
0.500 0.500 0.000
0.250 0.250 0.250
0.250 0.250 0.750
0.250 0.750 0.250
0.250 0.750 0.750
0.750 0.250 0.250
0.750 0.250 0.750
0.750 0.750 0.250
0.750 0.750 0.750
0.000 0.000 0.500
0.000 0.500 0.000
0.500 0.000 0.000
0.500 0.500 0.500
```

Computed properties:
**Energy**: -9.555 eV per atom
**Formation enthalpy at 0 K**: -0.3309 eV/atom
**Relative energy among the computed polymorphs**: 49 meV per atom

(13)
La6Ni2Pb after structural relaxation, computed with PBE.

POSCAR file:
```
La6Ni2Pb
1.0
-4.748 5.354 5.363
4.748 -5.354 5.363
4.748 5.354 -5.363
La Ni Pb
12 4 2
direct
0.008 0.218 0.790
0.182 0.298 0.480
0.182 0.702 0.884
0.322 0.013 0.691
0.322 0.631 0.309
0.428 0.218 0.210
0.572 0.782 0.790
0.678 0.369 0.691
0.678 0.987 0.309
0.818 0.298 0.116
0.818 0.702 0.520
0.992 0.782 0.210
0.120 0.620 0.500
0.369 0.000 0.369
0.631 0.000 0.631
0.880 0.380 0.500
0.000 0.000 0.000
0.500 0.500 0.000
```

Computed properties:
**Energy**: -5.276 eV per atom
**Formation enthalpy at 0 K**: -0.2940 eV/atom

(14)
PIrCl2 after structural relaxation, computed with PBE.

POSCAR file:
```
PIrCl2
1.0
3.352 0.000 0.000
0.000 3.352 0.000
0.000 0.000 7.917
P Ir Cl
1 1 2
direct
0.000 0.000 0.000
0.500 0.500 0.069
0.000 0.000 0.739
0.500 0.500 0.356
```

Computed properties:
**Energy**: -4.624 eV per atom
**Formation energy from raw total energies**: -0.13 eV/atom
**Relative energy among the computed polymorphs**: 530 meV per atom

(15)
TbCu2Rh4 after structural relaxation, computed with PBE.

POSCAR file:
```
TbCu2Rh4
1.0
8.288 0.000 0.000
0.000 6.644 0.000
-2.972 0.000 3.984
Tb Cu Rh
2 4 8
direct
0.000 0.000 0.000
0.500 0.500 0.000
0.000 0.500 0.250
0.000 0.500 0.750
0.500 0.000 0.250
0.500 0.000 0.750
0.195 0.196 0.696
0.195 0.804 0.696
0.305 0.304 0.304
0.305 0.696 0.304
0.695 0.304 0.696
0.695 0.696 0.696
0.805 0.196 0.304
0.805 0.804 0.304
```

Computed properties:
**Energy**: -6.233 eV per atom
**Formation enthalpy at 0 K**: -0.2002 eV/atom

(16)
Pm2Pr2Tl5 after structural relaxation, computed with PBE.

POSCAR file:
```
Pm2Pr2Tl5
1.0
8.296 -4.141 0.000
8.296 4.141 0.000
0.000 0.000 8.336
Pm Pr Tl
4 4 10
direct
0.155 0.845 0.843
0.345 0.655 0.343
0.655 0.345 0.657
0.845 0.155 0.157
0.200 0.200 0.500
0.300 0.300 0.000
0.700 0.700 0.000
0.800 0.800 0.500
0.000 0.000 0.500
0.014 0.721 0.144
0.221 0.514 0.644
0.279 0.986 0.144
0.486 0.779 0.644
0.500 0.500 0.000
0.514 0.221 0.356
0.721 0.014 0.856
0.779 0.486 0.356
0.986 0.279 0.856
```

Computed properties:
**Energy**: -3.685 eV per atom
**Formation enthalpy at 0 K**: -0.2523 eV/atom

(17)
TlHg3Se4 after structural relaxation, computed with PBE.

POSCAR file:
```
TlHg3Se4
1.0
9.036 0.000 0.000
0.000 7.833 0.000
0.000 0.000 7.342
Tl Hg Se
2 6 8
direct
0.000 0.170 0.000
0.500 0.830 0.500
0.000 0.831 0.499
0.250 0.335 0.502
0.250 0.665 0.002
0.500 0.169 0.999
0.750 0.335 0.502
0.750 0.665 0.002
0.000 0.163 0.603
0.000 0.819 0.126
0.238 0.659 0.629
0.262 0.341 0.129
0.500 0.181 0.626
0.500 0.837 0.103
0.738 0.341 0.129
0.762 0.659 0.629
```

Computed properties:
**Energy**: -2.331 eV per atom
**Formation energy from raw total energies**: -0.18 eV/atom
**Relative energy among the computed polymorphs**: 15 meV per atom

(18)
As2PbSeBr after structural relaxation, computed with PBE.

POSCAR file:
```
As2PbSeBr
1.0
5.700 0.000 0.000
0.000 5.700 0.000
0.000 0.000 5.469
As Pb Se Br
2 1 1 1
direct
0.000 0.500 0.000
0.500 0.000 0.000
0.000 0.000 0.000
0.000 0.000 0.500
0.500 0.500 0.500
```

Computed properties:
**Energy**: -2.706 eV per atom
**Formation energy from raw total energies**: 0.93 eV/atom
**Relative energy among the computed polymorphs**: 474 meV per atom

(19)
ZnOsCl2 after structural relaxation, computed with PBE.

POSCAR file:
```
ZnOsCl2
1.0
5.718 0.000 0.000
0.000 7.425 0.000
0.000 0.000 3.092
Zn Os Cl
2 2 4
direct
0.000 0.000 0.000
0.500 0.500 0.000
0.000 0.500 0.000
0.500 0.000 0.000
0.250 0.250 0.500
0.250 0.750 0.500
0.750 0.250 0.500
0.750 0.750 0.500
```

Computed properties:
**Energy**: -3.071 eV per atom
**Formation energy from raw total energies**: 0.98 eV/atom
**Relative energy among the computed polymorphs**: 988 meV per atom